Record 1
A PBEsol-optimized structure of SrBeTe2, computed with meta-GGA SCAN.

a = 4.323 Å, b = 4.323 Å, c = 6.442 Å
α = 109.60°, β = 109.60°, γ = 90.00°
Fractional positions:
Sr (0.250, 0.750, 0.500)
Be (0.500, 0.500, 0.000)
Te (0.000, 0.000, 0.000)
Te (0.750, 0.250, 0.500)

Output
As for the space-group type: No. 119. For the calculated volume, the calculation gives 26.49 A^3/atom. The formation energy from raw total energies comes out at -0.2452 eV per atom.


Record 2
A PBEsol-optimized structure of SrBe2Te, computed with meta-GGA SCAN.

a = 3.700 Å, b = 5.551 Å, c = 5.551 Å
α = 60.41°, β = 70.53°, γ = 70.53°
Fractional positions:
Be (0.707, 0.293, 0.293)
Be (0.293, 0.707, 0.707)
Te (0.000, 0.500, 0.500)
Sr (0.500, 0.000, 0.000)

Output
As for the space-group type: No. 71. For the calculated volume, the calculation gives 22.87 A^3/atom. The formation energy from raw total energies comes out at 0.3933 eV per atom.


Record 3
A PBEsol-optimized structure of SrBeTe2, computed with meta-GGA SCAN.

a = 4.226 Å, b = 4.683 Å, c = 6.559 Å
α = 110.91°, β = 90.00°, γ = 90.00°
Fractional positions:
Be (0.000, 0.181, 0.363)
Te (0.500, 0.277, 0.554)
Te (0.000, 0.990, 0.980)
Sr (0.500, 0.557, 0.114)

Output
As for the space-group type: No. 38. For the calculated volume, the calculation gives 30.31 A^3/atom. The formation energy from raw total energies comes out at -0.9634 eV per atom.


Record 4
A PBEsol-optimized structure of Sr2BeTe, computed with meta-GGA SCAN.

a = 5.500 Å, b = 5.500 Å, c = 5.500 Å
α = 60.00°, β = 60.00°, γ = 60.00°
Fractional positions:
Sr (0.250, 0.250, 0.250)
Sr (0.750, 0.750, 0.750)
Te (0.500, 0.500, 0.500)
Be (0.000, 0.000, 0.000)

Output
As for the space-group type: No. 225. For the calculated volume, the calculation gives 29.41 A^3/atom. The excess energy over the best structure of this formula in the dataset is 19.3 kJ per mole of atoms. The formation energy from raw total energies comes out at -0.3213 eV per atom.


Record 5
A PBEsol-optimized structure of Sr2BeTe, computed with meta-GGA SCAN.

a = 4.299 Å, b = 4.810 Å, c = 6.357 Å
α = 96.55°, β = 109.76°, γ = 90.00°
Fractional positions:
Sr (0.979, 0.152, 0.958)
Sr (0.260, 0.601, 0.521)
Te (0.546, 0.684, 0.093)
Be (0.714, 0.062, 0.429)

Output
As for the space-group type: No. 8. For the calculated volume, the calculation gives 30.70 A^3/atom. The excess energy over the best structure of this formula in the dataset is 0.5 kJ per mole of atoms. The formation energy from raw total energies comes out at -0.5165 eV per atom.


Record 6
A PBEsol-optimized structure of SrBe2Te, computed with meta-GGA SCAN.

a = 3.894 Å, b = 3.785 Å, c = 6.567 Å
α = 106.75°, β = 107.25°, γ = 90.00°
Fractional positions:
Sr (0.474, 0.474, 0.948)
Be (0.685, 0.185, 0.370)
Be (0.102, 0.102, 0.204)
Te (0.239, 0.739, 0.478)

Output
As for the space-group type: No. 44. For the calculated volume, the calculation gives 22.03 A^3/atom. The formation energy from raw total energies comes out at 0.0639 eV per atom.


Record 7
A PBEsol-optimized structure of SrBeTe2, computed with meta-GGA SCAN.

a = 3.766 Å, b = 4.240 Å, c = 7.276 Å
α = 100.28°, β = 90.00°, γ = 90.00°
Fractional positions:
Te (0.000, 0.923, 0.727)
Te (0.000, 0.077, 0.273)
Be (0.500, 0.000, 0.500)
Sr (0.500, 0.500, 0.000)

Output
As for the space-group type: No. 10. For the calculated volume, the calculation gives 28.58 A^3/atom. The formation energy from raw total energies comes out at -0.6877 eV per atom.


Record 8
A PBEsol-optimized structure of SrBeTe2, computed with meta-GGA SCAN.

a = 6.669 Å, b = 6.669 Å, c = 6.669 Å
α = 103.67°, β = 112.45°, γ = 112.45°
Fractional positions:
Sr (0.000, 0.000, 0.000)
Sr (0.500, 0.750, 0.250)
Te (0.588, 0.375, 0.463)
Te (0.412, 0.875, 0.787)
Te (0.912, 0.537, 0.125)
Te (0.088, 0.213, 0.625)
Be (0.500, 0.250, 0.750)
Be (0.000, 0.500, 0.500)

Output
As for the space-group type: No. 122. For the calculated volume, the calculation gives 28.32 A^3/atom. The formation energy from raw total energies comes out at -1.0251 eV per atom.